# 1
! CuP3Se GGA-PBE optimized geometry; values from VASP
! N(E_F), states/eV/cell: 3.94
! Excess energy over the best structure of this formula in the dataset, eV per atom: 0.000
! Spin magnetization, μB per formula unit: 0.0
&SYSTEM
  ibrav = 0, nat = 5, ntyp = 3
/
ATOMIC_SPECIES
Cu 63.55 Cu.upf
P 30.97 P.upf
Se 78.96 Se.upf
ATOMIC_POSITIONS crystal
Cu 0.000 0.000 0.000
P 0.000 0.500 0.000
P 0.500 0.000 0.000
P 0.000 0.000 0.500
Se 0.500 0.500 0.500
CELL_PARAMETERS angstrom
-4.336 1.179 -0.193
-1.191 -4.318 0.397
-0.081 0.434 4.475

# 2
! CuPSe2 GGA-PBE optimized geometry; values from VASP
! N(E_F), states/eV/cell: 1.26
! Excess energy over the best structure of this formula in the dataset, eV per atom: 0.310
! Spin magnetization, μB per formula unit: 0.0
&SYSTEM
  ibrav = 0, nat = 4, ntyp = 3
/
ATOMIC_SPECIES
P 30.97 P.upf
Se 78.96 Se.upf
Cu 63.55 Cu.upf
ATOMIC_POSITIONS crystal
P 0.500 0.500 0.000
Se 0.000 0.000 0.000
Se 0.500 0.000 0.500
Cu 0.000 0.500 0.500
CELL_PARAMETERS angstrom
0.521 -6.604 -3.042
-1.857 2.357 5.103
-3.911 0.950 0.877

# 3
! CuPSe2 GGA-PBE optimized geometry; values from VASP
! N(E_F), states/eV/cell: 1.73
! Excess energy over the best structure of this formula in the dataset, eV per atom: 0.119
! Spin magnetization, μB per formula unit: 0.0
&SYSTEM
  ibrav = 0, nat = 16, ntyp = 3
/
ATOMIC_SPECIES
Cu 63.55 Cu.upf
Se 78.96 Se.upf
P 30.97 P.upf
ATOMIC_POSITIONS crystal
Cu 0.460 0.319 0.900
Cu 0.040 0.319 0.400
Cu 0.540 0.681 0.100
Cu 0.960 0.681 0.600
Se 0.040 0.816 0.151
Se 0.960 0.184 0.849
Se 0.862 0.231 0.637
Se 0.138 0.769 0.363
Se 0.540 0.184 0.349
Se 0.460 0.816 0.651
Se 0.638 0.231 0.137
Se 0.362 0.769 0.863
P 0.300 0.442 0.065
P 0.800 0.558 0.435
P 0.200 0.442 0.565
P 0.700 0.558 0.935
CELL_PARAMETERS angstrom
-3.319 0.233 2.184
3.961 -3.874 6.432
4.118 9.358 5.257

# 4
! CuP2Se GGA-PBE optimized geometry; values from VASP
! N(E_F), states/eV/cell: 2.75
! Excess energy over the best structure of this formula in the dataset, eV per atom: 0.618
! Spin magnetization, μB per formula unit: 0.0
&SYSTEM
  ibrav = 0, nat = 4, ntyp = 3
/
ATOMIC_SPECIES
Se 78.96 Se.upf
Cu 63.55 Cu.upf
P 30.97 P.upf
ATOMIC_POSITIONS crystal
Se 0.500 0.000 0.500
Cu 0.000 0.500 0.500
P 0.500 0.500 0.000
P 0.000 0.000 0.000
CELL_PARAMETERS angstrom
4.723 0.000 0.000
0.000 4.723 0.000
0.000 0.000 2.794

# 5
! CuPSe2 GGA-PBE optimized geometry; values from VASP
! N(E_F), states/eV/cell: 4.33
! Excess energy over the best structure of this formula in the dataset, eV per atom: 0.406
! Spin magnetization, μB per formula unit: 0.0
&SYSTEM
  ibrav = 0, nat = 4, ntyp = 3
/
ATOMIC_SPECIES
Cu 63.55 Cu.upf
P 30.97 P.upf
Se 78.96 Se.upf
ATOMIC_POSITIONS crystal
Cu 0.500 0.500 0.000
P 0.750 0.250 0.500
Se 0.000 0.000 0.000
Se 0.250 0.750 0.500
CELL_PARAMETERS angstrom
-5.421 -0.618 7.222
-3.666 -5.157 6.473
6.452 3.382 -5.373

# 6
! CuPSe3 GGA-PBE optimized geometry; values from VASP
! N(E_F), states/eV/cell: 3.95
! Excess energy over the best structure of this formula in the dataset, eV per atom: 0.768
! Spin magnetization, μB per formula unit: 0.0
&SYSTEM
  ibrav = 0, nat = 5, ntyp = 3
/
ATOMIC_SPECIES
P 30.97 P.upf
Cu 63.55 Cu.upf
Se 78.96 Se.upf
ATOMIC_POSITIONS crystal
P 0.000 0.000 0.000
Cu 0.500 0.500 0.500
Se 0.000 0.000 0.500
Se 0.000 0.500 0.000
Se 0.500 0.000 0.000
CELL_PARAMETERS angstrom
4.819 0.000 0.000
0.000 4.819 0.000
0.000 0.000 4.819

# 7
! CuP2Se GGA-PBE optimized geometry; values from VASP
! N(E_F), states/eV/cell: 1.58
! Excess energy over the best structure of this formula in the dataset, eV per atom: 0.578
! Spin magnetization, μB per formula unit: 0.0
&SYSTEM
  ibrav = 0, nat = 4, ntyp = 3
/
ATOMIC_SPECIES
P 30.97 P.upf
Cu 63.55 Cu.upf
Se 78.96 Se.upf
ATOMIC_POSITIONS crystal
P 0.250 0.750 0.500
P 0.000 0.000 0.000
Cu 0.750 0.250 0.500
Se 0.500 0.500 0.000
CELL_PARAMETERS angstrom
-2.083 1.747 3.542
-2.867 -3.421 0.106
4.405 -0.722 0.080

# 8
! CuPSe2 GGA-PBE optimized geometry; values from VASP
! N(E_F), states/eV/cell: 1.44
! Excess energy over the best structure of this formula in the dataset, eV per atom: 0.468
! Spin magnetization, μB per formula unit: 0.0
&SYSTEM
  ibrav = 0, nat = 4, ntyp = 3
/
ATOMIC_SPECIES
Cu 63.55 Cu.upf
Se 78.96 Se.upf
P 30.97 P.upf
ATOMIC_POSITIONS crystal
Cu 0.000 0.000 0.528
Se 0.500 0.500 0.327
Se 0.000 0.000 0.936
P 0.500 0.500 0.709
CELL_PARAMETERS angstrom
3.008 -0.104 0.000
-1.129 2.790 0.000
0.000 0.000 9.207

# 9
! CuP2Se GGA-PBE optimized geometry; values from VASP
! N(E_F), states/eV/cell: 1.99
! Excess energy over the best structure of this formula in the dataset, eV per atom: 0.478
! Spin magnetization, μB per formula unit: 0.0
&SYSTEM
  ibrav = 0, nat = 4, ntyp = 3
/
ATOMIC_SPECIES
P 30.97 P.upf
Cu 63.55 Cu.upf
Se 78.96 Se.upf
ATOMIC_POSITIONS crystal
P 0.023 0.023 0.023
P 0.477 0.477 0.477
Cu 0.750 0.750 0.750
Se 0.250 0.250 0.250
CELL_PARAMETERS angstrom
-8.814 4.919 -0.083
-9.619 2.633 -1.561
-9.675 2.580 1.277

# 10
! CuP2Se GGA-PBE optimized geometry; values from VASP
! N(E_F), states/eV/cell: 1.43
! Excess energy over the best structure of this formula in the dataset, eV per atom: 0.148
! Spin magnetization, μB per formula unit: 0.0
&SYSTEM
  ibrav = 0, nat = 4, ntyp = 3
/
ATOMIC_SPECIES
P 30.97 P.upf
Cu 63.55 Cu.upf
Se 78.96 Se.upf
ATOMIC_POSITIONS crystal
P 0.636 0.636 0.995
P 0.004 0.004 0.898
Cu 0.309 0.309 0.225
Se 0.551 0.551 0.382
CELL_PARAMETERS angstrom
4.404 -0.372 0.275
3.416 2.804 0.275
2.562 0.797 6.168

# 11
! CuP2Se GGA-PBE optimized geometry; values from VASP
! N(E_F), states/eV/cell: 0.93
! Excess energy over the best structure of this formula in the dataset, eV per atom: 0.390
! Spin magnetization, μB per formula unit: 0.0
&SYSTEM
  ibrav = 0, nat = 4, ntyp = 3
/
ATOMIC_SPECIES
Cu 63.55 Cu.upf
Se 78.96 Se.upf
P 30.97 P.upf
ATOMIC_POSITIONS crystal
Cu 0.500 0.500 0.771
Se 0.000 0.000 0.564
P 0.500 0.500 0.167
P 0.000 0.000 0.998
CELL_PARAMETERS angstrom
-2.936 -0.964 0.511
2.069 -1.901 -1.386
2.465 -3.219 8.095

# 12
! CuP2Se6 GGA-PBE optimized geometry; values from VASP
! N(E_F), states/eV/cell: 5.43
! Excess energy over the best structure of this formula in the dataset, eV per atom: 0.154
! Spin magnetization, μB per formula unit: 0.0
&SYSTEM
  ibrav = 0, nat = 9, ntyp = 3
/
ATOMIC_SPECIES
Cu 63.55 Cu.upf
Se 78.96 Se.upf
P 30.97 P.upf
ATOMIC_POSITIONS crystal
Cu 0.000 0.000 0.000
Se 0.776 0.670 0.835
Se 0.224 0.835 0.165
Se 0.776 0.165 0.330
Se 0.224 0.835 0.670
Se 0.224 0.330 0.165
Se 0.776 0.165 0.835
P 0.049 0.667 0.333
P 0.951 0.333 0.667
CELL_PARAMETERS angstrom
-0.822 6.247 4.191
-3.033 -3.429 4.517
6.390 0.685 0.233

# 13
! CuP2Se GGA-PBE optimized geometry; values from VASP
! N(E_F), states/eV/cell: 1.71
! Excess energy over the best structure of this formula in the dataset, eV per atom: 0.021
! Spin magnetization, μB per formula unit: 0.0
&SYSTEM
  ibrav = 0, nat = 4, ntyp = 3
/
ATOMIC_SPECIES
Cu 63.55 Cu.upf
P 30.97 P.upf
Se 78.96 Se.upf
ATOMIC_POSITIONS crystal
Cu 0.500 0.500 0.555
P 0.500 0.500 0.165
P 0.000 0.000 0.088
Se 0.000 0.000 0.691
CELL_PARAMETERS angstrom
3.407 0.000 0.000
0.000 3.407 0.000
0.000 0.000 5.877

# 14
! CuP2Se GGA-PBE optimized geometry; values from VASP
! N(E_F), states/eV/cell: 2.27
! Excess energy over the best structure of this formula in the dataset, eV per atom: 0.673
! Spin magnetization, μB per formula unit: 0.0
&SYSTEM
  ibrav = 0, nat = 4, ntyp = 3
/
ATOMIC_SPECIES
P 30.97 P.upf
Se 78.96 Se.upf
Cu 63.55 Cu.upf
ATOMIC_POSITIONS crystal
P 0.250 0.250 0.250
P 0.750 0.750 0.750
Se 0.500 0.500 0.500
Cu 0.000 0.000 0.000
CELL_PARAMETERS angstrom
0.948 -3.408 -2.711
2.114 -3.588 1.587
-2.182 -3.863 0.430